Entry 1:
DFT (PBE) results for an optimized crystal structure of ScCuPt2.

Properties
The space group is F-43m (216). The formation energy comes out at -14.49 kcal/mol of atoms.

abc: 4.4869 4.4869 4.4869
angles: 60.00 60.00 60.00
Atoms (fractional coordinates):
Cu (0.2500, 0.2500, 0.2500)
Pt (0.5000, 0.5000, 0.5000)
Pt (0.7500, 0.7500, 0.7500)
Sc (0.0000, 0.0000, 0.0000)



Entry 2:
DFT (PBE) results for an optimized crystal structure of Tb4C2SeS.

Properties
The space group is P-6m2 (187).

abc: 3.7539 3.7539 13.1846
angles: 90.00 90.00 120.00
Atoms (fractional coordinates):
C (0.6667, 0.3333, 0.2542)
C (0.6667, 0.3333, 0.7458)
S (0.0000, 0.0000, 0.5000)
Se (0.3333, 0.6667, 0.0000)
Tb (0.0000, 0.0000, 0.1521)
Tb (0.3333, 0.6667, 0.3570)
Tb (0.3333, 0.6667, 0.6430)
Tb (0.0000, 0.0000, 0.8479)



Calculated V (Å³/f.u.), listed in the same order as above: 64 161
Calculated total energy (eV per atom), listed in the same order as above: -6.167 -6.753